DFT (GGA-PBE) results for a relaxed structure of Ba2GaP.

For the raw total energy, the calculation gives -3.380 eV/atom. The value obtained for the formation energy is -0.3097 eV per atom. For the volume, the calculation gives 305.8 Å³ per cell. Its distance to the lowest polymorph of the same formula is 11.4 kJ per mole of atoms.

a = 7.382 Å, b = 7.382 Å, c = 7.382 Å
α = 105.90°, β = 105.90°, γ = 116.88°
Sites, in units of the cell vectors:
Ba (0.085, 0.125, 0.460)
Ba (0.375, 0.915, 0.040)
Ba (0.665, 0.625, 0.540)
Ba (0.875, 0.335, 0.960)
Ga (0.250, 0.750, 0.500)
Ga (0.500, 0.500, 0.000)
P (0.000, 0.000, 0.000)
P (0.750, 0.250, 0.500)

DFT (GGA-PBE) results for a relaxed structure of In2HgCl.

For the raw total energy, the calculation gives -2.203 eV/atom. For the volume, the calculation gives 110.5 Å³ per cell. Its distance to the lowest polymorph of the same formula is 7.2 kJ per mole of atoms. The uncorrected formation energy comes out at -297 meV/atom.

a = 3.523 Å, b = 3.523 Å, c = 9.802 Å
α = 90.00°, β = 90.00°, γ = 114.75°
Sites, in units of the cell vectors:
In (0.000, 0.000, 0.232)
In (0.000, 0.000, 0.768)
Hg (0.500, 0.500, 0.500)
Cl (0.500, 0.500, 0.000)

DFT (GGA-PBE) results for a relaxed structure of OsRuRh2.

For the raw total energy, the calculation gives -8.747 eV/atom. The value obtained for the formation energy is 0.0552 eV per atom. For the volume, the calculation gives 56.5 Å³ per cell. Its distance to the lowest polymorph of the same formula is 0.7 kJ per mole of atoms.

a = 4.704 Å, b = 4.704 Å, c = 4.708 Å
α = 99.26°, β = 99.26°, γ = 33.39°
Sites, in units of the cell vectors:
Os (0.000, 0.000, 0.000)
Ru (0.747, 0.747, 0.240)
Rh (0.252, 0.252, 0.749)
Rh (0.497, 0.497, 0.494)

DFT (GGA-PBE) results for a relaxed structure of Zr2TeN.

For the raw total energy, the calculation gives -7.947 eV/atom. For the volume, the calculation gives 182.2 Å³ per cell. Its distance to the lowest polymorph of the same formula is 29.4 kJ per mole of atoms. The uncorrected formation energy comes out at -807 meV/atom.

a = 6.841 Å, b = 6.841 Å, c = 6.841 Å
α = 130.23°, β = 130.23°, γ = 73.03°
Sites, in units of the cell vectors:
Zr (0.016, 0.625, 0.891)
Zr (0.375, 0.266, 0.391)
Zr (0.734, 0.125, 0.109)
Zr (0.875, 0.984, 0.609)
Te (0.250, 0.750, 0.500)
Te (0.500, 0.500, 0.000)
N (0.000, 0.000, 0.000)
N (0.750, 0.250, 0.500)

DFT (GGA-PBE) results for a relaxed structure of Mn2RuRh6.

For the raw total energy, the calculation gives -7.871 eV/atom. The value obtained for the formation energy is 0.0978 eV per atom. For the volume, the calculation gives 128.3 Å³ per cell.

a = 7.164 Å, b = 7.164 Å, c = 4.660 Å
α = 99.05°, β = 99.05°, γ = 142.16°
Sites, in units of the cell vectors:
Mn (0.165, 0.835, 0.000)
Mn (0.835, 0.165, 0.000)
Ru (0.000, 0.000, 0.500)
Rh (0.163, 0.501, 0.674)
Rh (0.335, 0.335, 0.172)
Rh (0.499, 0.837, 0.326)
Rh (0.501, 0.163, 0.674)
Rh (0.665, 0.665, 0.828)
Rh (0.837, 0.499, 0.326)

DFT (GGA-PBE) results for a relaxed structure of ZnTeSI2.

For the raw total energy, the calculation gives -1.842 eV/atom. For the volume, the calculation gives 166.7 Å³ per cell. Its distance to the lowest polymorph of the same formula is 0.0 kJ per mole of atoms. The uncorrected formation energy comes out at 487 meV/atom.

a = 5.557 Å, b = 5.557 Å, c = 5.398 Å
α = 90.00°, β = 90.00°, γ = 90.00°
Sites, in units of the cell vectors:
Zn (0.000, 0.000, 0.000)
Te (0.500, 0.500, 0.000)
S (0.500, 0.500, 0.500)
I (0.000, 0.500, 0.500)
I (0.500, 0.000, 0.500)

DFT (GGA-PBE) results for a relaxed structure of BaCaGa2.

For the raw total energy, the calculation gives -2.883 eV/atom. The value obtained for the formation energy is -0.3888 eV per atom. For the volume, the calculation gives 278.6 Å³ per cell.

a = 4.385 Å, b = 7.519 Å, c = 8.732 Å
α = 90.00°, β = 104.62°, γ = 90.00°
Sites, in units of the cell vectors:
Ba (0.098, 0.250, 0.198)
Ba (0.902, 0.750, 0.802)
Ca (0.367, 0.250, 0.734)
Ca (0.633, 0.750, 0.266)
Ga (0.252, 0.583, 0.504)
Ga (0.252, 0.917, 0.504)
Ga (0.748, 0.083, 0.496)
Ga (0.748, 0.417, 0.496)

DFT (GGA-PBE) results for a relaxed structure of BaPr3Tl4.

For the raw total energy, the calculation gives -3.562 eV/atom. The value obtained for the formation energy is -0.3459 eV per atom. For the volume, the calculation gives 518.8 Å³ per cell.

a = 11.457 Å, b = 7.789 Å, c = 5.813 Å
α = 90.00°, β = 90.00°, γ = 90.00°
Sites, in units of the cell vectors:
Ba (0.000, 0.000, 0.000)
Ba (0.500, 0.000, 0.000)
Pr (0.000, 0.500, 0.000)
Pr (0.250, 0.000, 0.456)
Pr (0.250, 0.500, 0.442)
Pr (0.500, 0.500, 0.000)
Pr (0.750, 0.000, 0.544)
Pr (0.750, 0.500, 0.558)
Tl (0.000, 0.268, 0.500)
Tl (0.000, 0.732, 0.500)
Tl (0.250, 0.269, 0.933)
Tl (0.250, 0.731, 0.933)
Tl (0.500, 0.268, 0.500)
Tl (0.500, 0.732, 0.500)
Tl (0.750, 0.269, 0.067)
Tl (0.750, 0.731, 0.067)

DFT (GGA-PBE) results for a relaxed structure of RbTiS2.

For the raw total energy, the calculation gives -5.576 eV/atom. For the volume, the calculation gives 213.9 Å³ per cell. The uncorrected formation energy comes out at -1297 meV/atom.

a = 4.665 Å, b = 4.732 Å, c = 9.732 Å
α = 84.65°, β = 89.93°, γ = 90.00°
Sites, in units of the cell vectors:
Rb (0.249, 0.280, 0.335)
Rb (0.751, 0.720, 0.665)
Ti (0.250, 0.195, 0.924)
Ti (0.750, 0.805, 0.076)
S (0.250, 0.703, 0.016)
S (0.251, 0.214, 0.694)
S (0.749, 0.786, 0.306)
S (0.750, 0.297, 0.984)

DFT (GGA-PBE) results for a relaxed structure of Tm2CuSi2Rh5.

For the raw total energy, the calculation gives -6.931 eV/atom. For the volume, the calculation gives 317.9 Å³ per cell. The uncorrected formation energy comes out at -867 meV/atom.

a = 9.666 Å, b = 9.666 Å, c = 3.402 Å
α = 90.00°, β = 90.00°, γ = 90.00°
Sites, in units of the cell vectors:
Tm (0.173, 0.327, 0.000)
Tm (0.327, 0.827, 0.000)
Tm (0.673, 0.173, 0.000)
Tm (0.827, 0.673, 0.000)
Cu (0.000, 0.000, 0.000)
Cu (0.500, 0.500, 0.000)
Si (0.127, 0.627, 0.000)
Si (0.373, 0.127, 0.000)
Si (0.627, 0.873, 0.000)
Si (0.873, 0.373, 0.000)
Rh (0.000, 0.500, 0.500)
Rh (0.068, 0.792, 0.500)
Rh (0.208, 0.068, 0.500)
Rh (0.292, 0.568, 0.500)
Rh (0.432, 0.292, 0.500)
Rh (0.500, 0.000, 0.500)
Rh (0.568, 0.708, 0.500)
Rh (0.708, 0.432, 0.500)
Rh (0.792, 0.932, 0.500)
Rh (0.932, 0.208, 0.500)

DFT (GGA-PBE) results for a relaxed structure of Ba2CaAg3Sn4.

For the raw total energy, the calculation gives -3.459 eV/atom. The value obtained for the formation energy is -0.4176 eV per atom. For the volume, the calculation gives 294.6 Å³ per cell.

a = 4.828 Å, b = 4.828 Å, c = 12.637 Å
α = 90.00°, β = 90.00°, γ = 90.00°
Sites, in units of the cell vectors:
Ba (0.000, 0.500, 0.236)
Ba (0.500, 0.000, 0.764)
Ca (0.000, 0.000, 0.500)
Ag (0.000, 0.500, 0.873)
Ag (0.500, 0.000, 0.127)
Ag (0.500, 0.500, 0.500)
Sn (0.000, 0.000, 0.000)
Sn (0.000, 0.500, 0.652)
Sn (0.500, 0.000, 0.348)
Sn (0.500, 0.500, 0.000)

DFT (GGA-PBE) results for a relaxed structure of Ba2Li4Bi3Au.

For the raw total energy, the calculation gives -3.310 eV/atom. The value obtained for the formation energy is -0.6682 eV per atom. For the volume, the calculation gives 273.5 Å³ per cell.

a = 4.854 Å, b = 4.854 Å, c = 11.611 Å
α = 90.00°, β = 90.00°, γ = 90.00°
Sites, in units of the cell vectors:
Ba (0.000, 0.500, 0.249)
Ba (0.500, 0.000, 0.751)
Li (0.000, 0.000, 0.000)
Li (0.000, 0.500, 0.619)
Li (0.500, 0.000, 0.381)
Li (0.500, 0.500, 0.000)
Bi (0.000, 0.500, 0.862)
Bi (0.500, 0.000, 0.138)
Bi (0.500, 0.500, 0.500)
Au (0.000, 0.000, 0.500)

The lowest raw total energy belongs to which entry?
OsRuRh2